VASP calculation (PBE+U) on a relaxed Li3FeF crystal.

abc: 4.9251 4.9251 4.9251
angles: 90.00 90.00 90.00
Closest atoms and distances in Å follow each position.
Element x y z (fractional)
1 Li 0.0000 0.5000 0.0000  2 Fe 2.46
2 Li 0.0000 0.0000 0.5000  2 Fe 2.46
3 Li 0.5000 0.0000 0.0000  2 Fe 2.46
4 Fe 0.0000 0.0000 0.0000  6 Li 2.46
5 F 0.5000 0.5000 0.5000  12 Li 3.48

Results
Total magnetic moment = 3.44 μB/f.u.
ΔE to the lowest computed polymorph = 825 meV per atom
DFT total energy = -0.0936 Ha/atom